First-principles (PBE) data for Li2As7Pd12 after structural relaxation, as listed in OQMD via LeMat-Bulk.

**E**: -107.67 eV/cell
**Mass density**: 8.5 g cm⁻³

Cell lengths 10.2296, 10.2296, 3.9245 Å; angles 90.00, 90.00, 120.00 degrees
With the nearest neighbours (Å) after each atom.
Fractional positions:
Li: 0.0000 0.0000 0.0000  6 As 3.07-3.08, 6 Pd 3.26-3.27
Li: 0.3333 0.6667 0.4989  6 As 3.06-3.08, 6 Pd 3.25-3.26
As: 0.0840 0.4596 0.0021  7 Pd 2.48-2.70
As: 0.2489 0.2081 0.4974  7 Pd 2.48-2.67
As: 0.3757 0.9160 0.0021  7 Pd 2.48-2.70
As: 0.5404 0.6243 0.0021  7 Pd 2.48-2.70
As: 0.6667 0.3333 0.2244  6 Pd 2.48-2.51
As: 0.7919 0.0408 0.4974  7 Pd 2.48-2.67
As: 0.9592 0.7511 0.4974  7 Pd 2.48-2.67
Pd: 0.0469 0.2754 0.4987  4 As 2.48-2.62
Pd: 0.1063 0.7138 0.0003  4 As 2.48-2.62
Pd: 0.2285 0.9531 0.4987  4 As 2.48-2.62
Pd: 0.2862 0.3924 0.0003  4 As 2.48-2.62
Pd: 0.4081 0.1835 0.9892  4 As 2.48-2.67
Pd: 0.5199 0.4383 0.5130  4 As 2.51-2.70
Pd: 0.5617 0.0815 0.5130  4 As 2.51-2.70
Pd: 0.6076 0.8937 0.0003  4 As 2.48-2.62
Pd: 0.7246 0.7715 0.4987  4 As 2.48-2.62
Pd: 0.7754 0.5919 0.9892  4 As 2.48-2.67
Pd: 0.8165 0.2246 0.9892  4 As 2.48-2.67
Pd: 0.9185 0.4801 0.5130  4 As 2.51-2.70